This record from Alexandria via LeMat-Bulk describes an optimized crystal structure of KAc2Te6Pb3. The functional is PBE.

Lattice parameters (Å, degrees): 4.9450 9.2665 10.5265 101.36 103.58 90.00
Element x y z (fractional)
Te 0.3243 0.9205 0.6485
Ac 0.1656 0.3230 0.3313
Pb 0.8388 0.1519 0.6776
Te 0.6661 0.5735 0.3323
Ac 0.8344 0.6770 0.6687
Pb 0.1612 0.8481 0.3224
Pb 0.5000 0.5000 0.0000
Te 0.3339 0.4265 0.6677
K 0.5000 0.0000 0.0000
Te 0.9969 0.7345 0.9938
Te 0.6757 0.0795 0.3515
Te 0.0031 0.2655 0.0062

D(E_F): 2.8 states/eV/cell
ΔE_f (raw): -0.893 eV/atom
Space-group type: C2/m, No. 12